TlPSe2 | PBE | optimized geometry

Summary:
For the total energy, the calculation gives -3.590 eV/atom. Its space-group type is R3m. The value obtained for the uncorrected formation energy is 2.2 kcal/mol of atoms. The crystal system is trigonal. Its density is 6.84 Mg/m³.

Cell: 7.3900 7.3900 7.3900 Å, 31.10 31.10 31.10°
Sites, in units of the cell vectors:
Tl1 0.4979 0.4979 0.4979
P1 0.2641 0.2641 0.2641
Se1 0.7520 0.7520 0.7520
Se2 0.9860 0.9860 0.9860